(1)
The following is a PBEsol calculation of an optimized crystal structure of KIn2Se, from Alexandria via LeMat-Bulk.

Cell and atoms, written as CIF:
```
data_KIn2Se
_chemical_formula_sum 'K4 In8 Se4'
_cell_length_a 7.563
_cell_length_b 7.563
_cell_length_c 7.563
_cell_angle_alpha 90.00
_cell_angle_beta 90.00
_cell_angle_gamma 90.00
_symmetry_space_group_name_H-M 'F -4 3 m'
_symmetry_Int_Tables_number 216
_symmetry_space_group_name_Hall 'F -4 2 3'
loop_
_atom_site_label
_atom_site_fract_x
_atom_site_fract_y
_atom_site_fract_z
K1 0.000 0.000 0.000
In1 0.000 0.000 0.500
In2 0.250 0.250 0.750
Se1 0.250 0.250 0.250
```

Output
The calculation puts the uncorrected formation energy at -0.19 eV per atom. The spin magnetization comes out at 0.0000 μB per atom. As for the crystal system: cubic.

=====

(2)
The following is a PBEsol calculation of an optimized crystal structure of BeAu2Se, from Alexandria via LeMat-Bulk.

Cell and atoms, written as CIF:
```
data_BeAu2Se
_chemical_formula_sum 'Be1 Au2 Se1'
_cell_length_a 2.767
_cell_length_b 2.767
_cell_length_c 8.479
_cell_angle_alpha 90.00
_cell_angle_beta 90.00
_cell_angle_gamma 90.00
_symmetry_space_group_name_H-M 'P 4/m m m'
_symmetry_Int_Tables_number 123
_symmetry_space_group_name_Hall '-P 4 2'
loop_
_atom_site_label
_atom_site_fract_x
_atom_site_fract_y
_atom_site_fract_z
Be1 0.000 0.000 0.000
Au1 0.500 0.500 0.183
Se1 0.000 0.000 0.500
```

Output
For the excess energy over the best structure of this formula in the dataset, the calculation gives 0.000 eV/atom. The calculation puts the uncorrected formation energy at 0.02 eV per atom. The spin magnetization comes out at 0.0000 μB per atom. As for the crystal system: tetragonal.

=====

(3)
The following is a PBEsol calculation of an optimized crystal structure of Mn2Si, from Alexandria via LeMat-Bulk.

Cell and atoms, written as CIF:
```
data_Mn2Si
_chemical_formula_sum 'Mn8 Si4'
_cell_length_a 8.389
_cell_length_b 2.643
_cell_length_c 6.119
_cell_angle_alpha 90.00
_cell_angle_beta 110.12
_cell_angle_gamma 90.00
_symmetry_space_group_name_H-M 'C 1 2/m 1'
_symmetry_Int_Tables_number 12
loop_
_symmetry_equiv_pos_as_xyz
'x,y,z'
'-x,-y,-z'
'-x,y,-z'
'x,-y,z'
'x+1/2,y+1/2,z'
'-x+1/2,-y+1/2,-z'
'-x+1/2,y+1/2,-z'
'x+1/2,-y+1/2,z'
loop_
_atom_site_label
_atom_site_fract_x
_atom_site_fract_y
_atom_site_fract_z
Mn1 0.151 0.000 0.042
Mn2 0.182 0.000 0.629
Si1 0.022 0.500 0.285
```

Output
The calculation puts the uncorrected formation energy at -0.36 eV per atom. The spin magnetization comes out at 0.0006 μB per atom. As for the crystal system: monoclinic.

=====

spin magnetization of number 3 (Mn2Si)? 0.0006 μB per atom